Density functional theory data (PBE) for crystalline Cs2CuPbF6 at its relaxed geometry.

Values from the calculation:
volume = 17.40 A^3/atom
space group = Fm-3m
raw total energy = -4.294 eV per atom

a b c (Å): 6.2661 6.2661 6.2661
angles (deg): 60.00 60.00 60.00
With the nearest neighbours (Å) after each atom.
Sites, in units of the cell vectors:
Cs 0.2500 0.2500 0.2500  12 F 3.14
Cs 0.7500 0.7500 0.7500  12 F 3.14
Cu 0.0000 0.0000 0.0000  6 F 2.06
Pb 0.5000 0.5000 0.5000  6 F 2.37
F 0.2330 0.2330 0.7670  1 Cu 2.06
F 0.2330 0.7670 0.2330  1 Cu 2.06
F 0.2330 0.7670 0.7670  1 Cu 2.06
F 0.7670 0.2330 0.2330  1 Cu 2.06
F 0.7670 0.2330 0.7670  1 Cu 2.06
F 0.7670 0.7670 0.2330  1 Cu 2.06